[1]
Density functional theory data (SCAN) for a PBEsol-optimized structure of LiLaCdRu2.

Calculated values
Total DFT energy (no corrections) (eV per cell): -138.61
ρ (Mg/m³): 5.736
Calculated formation energy (eV per formula unit): 6.95

Lattice parameters (Å, degrees): 4.9361 4.9361 5.4705 90.00 90.00 90.00
Last column: magnetic moment on the atom in μB.
Element x y z (fractional)
Li (0.5000, 0.5000, 0.5000)  -0.02
La (0.0000, 0.0000, 0.5000)  -0.22
Cd (0.0000, 0.0000, 0.0000)  -0.03
Ru (0.0000, 0.5000, 0.0000)  1.42
Ru (0.5000, 0.0000, 0.0000)  1.42



[2]
Density functional theory data (SCAN) for a PBEsol-optimized structure of SiPSe2.

Calculated values
Total DFT energy (no corrections) (eV per cell): -57.22
ρ (Mg/m³): 5.323
E above lowest polymorph (meV per atom): 509.6
Formation energy (no corrections) (meV/atom): 839

Lattice parameters (Å, degrees): 4.5746 4.5746 4.5746 60.00 60.00 60.00
Element x y z (fractional)
Si (0.2500, 0.2500, 0.2500)
Se (0.0000, 0.0000, 0.0000)
Se (0.7500, 0.7500, 0.7500)
P (0.5000, 0.5000, 0.5000)



[3]
Density functional theory data (SCAN) for a PBEsol-optimized structure of MnTlW.

Calculated values
Total DFT energy (no corrections) (eV per cell): -158.48
ρ (Mg/m³): 14.560
Calculated formation energy (eV per formula unit): 1.82
E above lowest polymorph (meV per atom): 0.0

Lattice parameters (Å, degrees): 2.8705 2.8705 6.8404 97.39 97.39 112.79
Last column: magnetic moment on the atom in μB.
Element x y z (fractional)
Mn (0.9885, 0.9885, 0.9769)  2.86
Tl (0.6614, 0.6614, 0.3228)  -0.02
W (0.3502, 0.3502, 0.7003)  -0.41



[4]
Density functional theory data (SCAN) for a PBEsol-optimized structure of SrSiMo.

Calculated values
Total DFT energy (no corrections) (eV per cell): -64.92
ρ (Mg/m³): 5.121
Formation energy (no corrections) (meV/atom): 752

Lattice parameters (Å, degrees): 4.5957 4.5957 4.5957 60.00 60.00 60.00
Last column: magnetic moment on the atom in μB.
Element x y z (fractional)
Sr (0.0000, 0.0000, 0.0000)  -0.01
Mo (0.5000, 0.5000, 0.5000)  1.69
Si (0.2500, 0.2500, 0.2500)  -0.11



[5]
Density functional theory data (SCAN) for a PBEsol-optimized structure of ZnReB3.

Calculated values
Total DFT energy (no corrections) (eV per cell): -95.26
ρ (Mg/m³): 8.682
Calculated formation energy (eV per formula unit): 11.64

Lattice parameters (Å, degrees): 3.7874 3.7874 3.7874 90.00 90.00 90.00
Last column: magnetic moment on the atom in μB.
Element x y z (fractional)
Re (0.5000, 0.5000, 0.5000)  -0.98
B (0.0000, 0.5000, 0.0000)  0.06
B (0.0000, 0.0000, 0.5000)  0.06
B (0.5000, 0.0000, 0.0000)  0.06
Zn (0.0000, 0.0000, 0.0000)  0.01



[6]
Density functional theory data (SCAN) for a PBEsol-optimized structure of MgMnNi2.

Calculated values
Total DFT energy (no corrections) (eV per cell): -55.88
ρ (Mg/m³): 6.455
Calculated formation energy (eV per formula unit): -0.31

Lattice parameters (Å, degrees): 2.6743 3.6130 5.2349 90.00 90.00 90.00
Last column: magnetic moment on the atom in μB.
Element x y z (fractional)
Ni (0.5000, 0.5000, 0.2430)  0.34
Ni (0.0000, 0.0000, 0.9884)  0.70
Mn (0.5000, 0.5000, 0.7886)  3.69
Mg (0.0000, 0.0000, 0.4799)  -0.02



[7]
Density functional theory data (SCAN) for a PBEsol-optimized structure of CdPdS2N.

Calculated values
Total DFT energy (no corrections) (eV per cell): -84.97
ρ (Mg/m³): 5.065
Formation energy (no corrections) (meV/atom): 1352

Lattice parameters (Å, degrees): 4.0060 4.9298 4.9298 90.00 90.00 90.00
Last column: magnetic moment on the atom in μB.
Element x y z (fractional)
Pd (0.5000, 0.5000, 0.5000)  0.42
S (0.0000, 0.5000, 0.0000)  0.27
S (0.0000, 0.0000, 0.5000)  0.27
N (0.5000, 0.0000, 0.0000)  1.28
Cd (0.0000, 0.0000, 0.0000)  0.04



[8]
Density functional theory data (SCAN) for a PBEsol-optimized structure of ZrCdAu.

Calculated values
Total DFT energy (no corrections) (eV per cell): -131.59
ρ (Mg/m³): 11.472
Calculated formation energy (eV per formula unit): -1.32

Lattice parameters (Å, degrees): 3.1641 3.1641 6.2092 104.76 104.76 90.00
Element x y z (fractional)
Au (0.0006, 0.0006, 0.0013)
Zr (0.6580, 0.6580, 0.3161)
Cd (0.3413, 0.3413, 0.6826)



[9]
Density functional theory data (SCAN) for a PBEsol-optimized structure of LiV3Zn2O8.

Calculated values
Total DFT energy (no corrections) (eV per cell): -164.64
ρ (Mg/m³): 4.948
E above lowest polymorph (meV per atom): 0.0
Formation energy (no corrections) (meV/atom): -2350

Lattice parameters (Å, degrees): 5.8954 5.8954 5.7768 89.98 119.36 121.33
Last column: magnetic moment on the atom in μB.
Element x y z (fractional)
O (0.4670, 0.7481, 0.7521)  -0.02
O (0.9959, 0.7149, 0.2479)  -0.02
O (0.9857, 0.2572, 0.2429)  0.02
O (0.5330, 0.2519, 0.2479)  -0.02
O (0.0143, 0.7428, 0.7571)  0.02
O (0.0041, 0.2851, 0.7521)  -0.02
O (0.5330, 0.2519, 0.7848)  -0.02
O (0.4670, 0.7481, 0.2152)  -0.02
V (0.0000, 0.5000, 0.0000)  1.27
V (0.5000, 0.0000, 0.0000)  1.27
V (0.0000, 0.5000, 0.5000)  1.27
Li (0.5000, 0.5000, 0.0000)  0.00
Zn (0.2551, 0.1223, 0.3774)  0.03
Zn (0.7449, 0.8777, 0.6226)  0.03



[10]
Density functional theory data (SCAN) for a PBEsol-optimized structure of TcMoAsPd2.

Calculated values
Total DFT energy (no corrections) (eV per cell): -151.36
ρ (Mg/m³): 8.635
Calculated formation energy (eV per formula unit): 4.32

Lattice parameters (Å, degrees): 4.4777 4.4777 4.6200 90.00 90.00 90.00
Last column: magnetic moment on the atom in μB.
Element x y z (fractional)
Mo (0.0000, 0.0000, 0.5000)  -0.33
Pd (0.5000, 0.0000, 0.0000)  0.12
Pd (0.0000, 0.5000, 0.0000)  0.12
Tc (0.5000, 0.5000, 0.5000)  3.61
As (0.0000, 0.0000, 0.0000)  0.05



[11]
Density functional theory data (SCAN) for a PBEsol-optimized structure of CdRe3Br.

Calculated values
Total DFT energy (no corrections) (eV per cell): -251.14
ρ (Mg/m³): 13.426
Formation energy (no corrections) (meV/atom): 2405

Lattice parameters (Å, degrees): 4.5287 4.5287 4.5287 90.00 90.00 90.00
Last column: magnetic moment on the atom in μB.
Element x y z (fractional)
Re (0.0000, 0.5000, 0.0000)  -0.59
Re (0.0000, 0.0000, 0.5000)  -0.59
Re (0.5000, 0.0000, 0.0000)  -0.59
Br (0.0000, 0.0000, 0.0000)  0.02
Cd (0.5000, 0.5000, 0.5000)  0.02



[12]
Density functional theory data (SCAN) for a PBEsol-optimized structure of Zn2MoOsO.

Calculated values
Total DFT energy (no corrections) (eV per cell): -135.23
ρ (Mg/m³): 8.567
Formation energy (no corrections) (meV/atom): 960

Lattice parameters (Å, degrees): 3.5556 4.8584 4.8584 90.00 90.00 90.00
Last column: magnetic moment on the atom in μB.
Element x y z (fractional)
Zn (0.0000, 0.0000, 0.5000)  -0.02
Zn (0.0000, 0.5000, 0.0000)  -0.02
O (0.5000, 0.0000, 0.0000)  -0.01
Os (0.5000, 0.5000, 0.5000)  1.74
Mo (0.0000, 0.0000, 0.0000)  0.77



Question: ρ of number 7 (CdPdS2N)?
Answer: 5.065 Mg/m³



Question: Among the records above, which one has the highest total DFT energy (no corrections)?
Answer: MgMnNi2